## Ge2W9O27 (PBE+U)

Data for Ge2W9O27 after structural relaxation.

Output
Magnetic moment ... 3.34 μB per formula unit
VASP energy ... -559.69 eV per cell

Cell: 7.597 13.163 11.595 Å, 90.00 90.04 90.00°
Space group C2/m (No. 12)
Inequivalent atoms, fractional coordinates:
Ge  0.101  0.000  0.356
W  0.000  0.500  0.000
W  0.002  0.500  0.332
W  0.249  0.258  0.333
W  0.250  0.250  0.000
O  0.000  0.214  0.000
O  0.000  0.500  0.500
O  0.002  0.221  0.665
O  0.007  0.500  0.827
O  0.178  0.390  0.003
O  0.193  0.395  0.335
O  0.219  0.403  0.661
O  0.249  0.253  0.830
O  0.250  0.250  0.500